A plane-wave DFT calculation with PBE was carried out for a geometry-optimized KRbHg structure.

D(E_F)	0.6385	states/eV per atom
DFT total energy	-2.86	eV/f.u.
energy relative to the elements	-0.17	eV per atom

POSCAR file:
```
KRbHg
1.0
7.3767 0.0000 0.0000
-2.0947 7.0733 0.0000
-2.1203 -3.9033 5.8903
K Rb Hg
2 2 2
Direct
0.0000 0.0000 0.0000
0.3286 0.8613 0.4680
0.6177 0.4756 0.1416
0.9399 0.3255 0.6143
0.4664 0.4714 0.6031
0.4695 0.8656 0.9958
```

=====

A plane-wave DFT calculation with PBE was carried out for a geometry-optimized AlAsPt2 structure.

D(E_F)	0.7114	states/eV per atom
DFT total energy	-22.19	eV/f.u.
energy relative to the elements	-0.43	eV per atom

POSCAR file:
```
AlAsPt2
1.0
1.4933 0.8621 8.2868
-1.4933 0.8621 8.2868
0.0000 -1.7243 8.2868
Al As Pt
1 1 2
Direct
0.0000 0.0000 0.0000
0.5000 0.5000 0.5000
0.2557 0.2557 0.2557
0.7443 0.7443 0.7443
```

=====

A plane-wave DFT calculation with PBE was carried out for a geometry-optimized Ca2CoW2 structure.

D(E_F)	1.0122	states/eV per atom
DFT total energy	-30.18	eV/f.u.
energy relative to the elements	1.37	eV per atom

POSCAR file:
```
Ca2CoW2
1.0
9.0249 0.0000 0.0000
0.0000 9.0249 0.0000
0.0000 0.0000 2.8115
Ca Co W
4 2 4
Direct
0.1987 0.3013 0.0000
0.3013 0.8013 0.0000
0.6987 0.1987 0.0000
0.8013 0.6987 0.0000
0.0000 0.0000 0.0000
0.5000 0.5000 0.0000
0.0922 0.5922 0.5000
0.4078 0.0922 0.5000
0.5922 0.9078 0.5000
0.9078 0.4078 0.5000
```